Entry from Alexandria: a relaxed MnPO4 crystal (GGA+U).

Total DFT energy (no corrections) ... -7.358 eV per atom
Fermi-level density of states ... 3.258 states/eV/cell

Structure (CIF):
```
data_MnPO4
_chemical_formula_sum 'Mn12 P12 O48'
_space_group_name_H-M_alt 'P 1 21/c 1'
_space_group_IT_number 14
_cell_length_a 8.438
_cell_length_b 7.158
_cell_length_c 16.805
_cell_angle_alpha 90.00
_cell_angle_beta 119.33
_cell_angle_gamma 90.00
loop_
_space_group_symop_operation_xyz
'x,y,z'
'-x,-y,-z'
'-x,y+1/2,-z+1/2'
'x,-y+1/2,z+1/2'
loop_
_atom_site_label
_atom_site_type_symbol
_atom_site_fract_x
_atom_site_fract_y
_atom_site_fract_z
_atom_site_occupancy
Mn1 Mn 0.002 0.016 0.251 1
Mn2 Mn 0.331 0.055 0.077 1
Mn3 Mn 0.334 0.045 0.587 1
P1 P 0.036 0.743 0.929 1
P2 P 0.324 0.731 0.728 1
P3 P 0.364 0.249 0.412 1
O1 O 0.031 0.218 0.673 1
O2 O 0.129 0.570 0.463 1
O3 O 0.137 0.236 0.556 1
O4 O 0.162 0.241 0.345 1
O5 O 0.163 0.575 0.978 1
O6 O 0.184 0.731 0.760 1
O7 O 0.290 0.560 0.666 1
O8 O 0.293 0.584 0.173 1
O9 O 0.394 0.246 0.514 1
O10 O 0.447 0.071 0.900 1
O11 O 0.452 0.073 0.397 1
O12 O 0.479 0.229 0.688 1
```